This record from Alexandria via LeMat-Bulk describes crystalline Pm9Sm4Er11 at its relaxed geometry. The functional is PBE.

Values from the calculation:
* energy: -4.606 eV per atom
* formation energy: 0.05 eV/atom

Lattice parameters (Å, degrees): 16.7227 25.3077 3.7242 90.00 90.00 90.00
Space group Cmmm (No. 65)
Asymmetric unit:
Pm: 0.0000 0.0000 0.0000 (multiplicity 2)
Pm: 0.1035 0.2351 0.0000 (multiplicity 8)
Pm: 0.1383 0.4262 0.0000 (multiplicity 8)
Sm: 0.1541 0.0996 0.0000 (multiplicity 8)
Er: 0.0000 0.1357 0.5000 (multiplicity 4)
Er: 0.0000 0.3394 0.5000 (multiplicity 4)
Er: 0.0000 0.5000 0.5000 (multiplicity 2)
Er: 0.2145 0.0000 0.5000 (multiplicity 4)
Er: 0.2260 0.3196 0.5000 (multiplicity 8)

***

This record from Alexandria via LeMat-Bulk describes crystalline Pm5Sm4Er3 at its relaxed geometry. The functional is PBE.

Values from the calculation:
* energy: -4.679 eV per atom
* formation energy: 0.01 eV/atom

Lattice parameters (Å, degrees): 6.2443 7.2081 8.8319 90.03 90.12 90.18
Space group P-1 (No. 2)
Asymmetric unit:
Pm: 0.0000 0.0000 0.0000 (multiplicity 1)
Pm: 0.3313 0.5001 0.3338 (multiplicity 2)
Pm: 0.4977 0.2511 0.9996 (multiplicity 2)
Sm: 0.1654 0.7491 0.6669 (multiplicity 2)
Sm: 0.3346 0.9998 0.3343 (multiplicity 2)
Er: 0.0000 0.5000 0.0000 (multiplicity 1)
Er: 0.1666 0.2506 0.6670 (multiplicity 2)

***

This record from Alexandria via LeMat-Bulk describes crystalline Pm2Sm5Er2 at its relaxed geometry. The functional is PBE.

Values from the calculation:
* energy: -4.479 eV per atom
* formation energy: 0.21 eV/atom

Lattice parameters (Å, degrees): 14.9389 11.8860 6.8113 90.00 90.00 90.00
Space group Ima2 (No. 46)
Asymmetric unit:
Pm: 0.1266 0.0027 0.0000 (multiplicity 8)
Sm: 0.0522 0.7479 0.6504 (multiplicity 8)
Sm: 0.1433 0.2348 0.3226 (multiplicity 8)
Sm: 0.2500 0.7438 0.3497 (multiplicity 4)
Er: 0.0000 0.0000 0.4714 (multiplicity 4)
Er: 0.2500 0.0093 0.5440 (multiplicity 4)

***

This record from Alexandria via LeMat-Bulk describes crystalline Pm2Sm6Er at its relaxed geometry. The functional is PBE.

Values from the calculation:
* energy: -4.594 eV per atom
* formation energy: 0.11 eV/atom

Lattice parameters (Å, degrees): 12.9381 14.5596 6.6956 90.00 105.10 90.00
Space group C2/c (No. 15)
Asymmetric unit:
Pm: 0.1451 0.0239 0.3711 (multiplicity 8)
Sm: 0.0361 0.1853 0.0062 (multiplicity 8)
Sm: 0.1310 0.4079 0.8178 (multiplicity 8)
Sm: 0.2394 0.2016 0.7229 (multiplicity 8)
Er: 0.0000 0.3825 0.2500 (multiplicity 4)